Record 1
## NbSiSCl2 (PBE-GGA)

Data for NbSiSCl2 after structural relaxation.

abc: 4.6891 4.6891 4.8362
angles: 90.00 90.00 90.00
Last column: nearest neighbours and their distance in Å.
Positions (direct):
Nb 0.0000 0.0000 0.0000  4 S 3.32, 8 Cl 3.37
Si 0.5000 0.5000 0.5000  4 Cl 2.34, 2 S 2.42
S 0.5000 0.5000 0.0000  2 Si 2.42
Cl 0.0000 0.5000 0.5000  2 Si 2.34
Cl 0.5000 0.0000 0.5000  2 Si 2.34

crystal system: tetragonal
magnetization: 3.39 μB per cell
excess energy over the best structure of this formula in the dataset: 1.80 eV/f.u.
ΔE_f (raw): 0.39 eV per atom
VASP energy: -4.273 eV/atom


Record 2
## NbSiSCl2 (PBE-GGA)

Data for NbSiSCl2 after structural relaxation.

abc: 4.8896 4.8896 4.8625
angles: 90.00 90.00 90.00
Last column: nearest neighbours and their distance in Å.
Positions (direct):
Nb 0.0000 0.0000 0.0000  2 S 2.43, 4 Cl 2.44
Si 0.5000 0.5000 0.5000  8 Cl 3.45, 4 S 3.46
S 0.0000 0.0000 0.5000  2 Nb 2.43
Cl 0.0000 0.5000 0.0000  2 Nb 2.44
Cl 0.5000 0.0000 0.0000  2 Nb 2.44

crystal system: tetragonal
magnetization: 1.60 μB per cell
excess energy over the best structure of this formula in the dataset: 0.00 eV/f.u.
ΔE_f (raw): 0.03 eV per atom
VASP energy: -4.632 eV/atom


What is the formula in the first record?
NbSiSCl2


Which value of VASP energy does entry 2 give?
-4.632 eV/atom


What did the second record say?
## NbSiSCl2 (PBE-GGA)

Data for NbSiSCl2 after structural relaxation.

abc: 4.8896 4.8896 4.8625
angles: 90.00 90.00 90.00
Last column: nearest neighbours and their distance in Å.
Positions (direct):
Nb 0.0000 0.0000 0.0000  2 S 2.43, 4 Cl 2.44
Si 0.5000 0.5000 0.5000  8 Cl 3.45, 4 S 3.46
S 0.0000 0.0000 0.5000  2 Nb 2.43
Cl 0.0000 0.5000 0.0000  2 Nb 2.44
Cl 0.5000 0.0000 0.0000  2 Nb 2.44

crystal system: tetragonal
magnetization: 1.60 μB per cell
excess energy over the best structure of this formula in the dataset: 0.00 eV/f.u.
ΔE_f (raw): 0.03 eV per atom
VASP energy: -4.632 eV/atom


Which of these has the highest VASP energy?
number 1